Computed, not measured: a relaxed SmBPt4 crystal at the PBE level of DFT.

It has space group Pmma (No. 51), with a = 7.488 Å, b = 3.917 Å, c = 6.698 Å, α = 90.00°, β = 90.00° and γ = 90.00°. Symmetry generates all atoms from Sm at (0.250, 0.000, 0.101), B at (0.250, 0.000, 0.664), Pt at (0.000, 0.000, 0.500), Pt at (0.063, 0.500, 0.803) and Pt at (0.250, 0.500, 0.445).

Its formation energy is -0.588 eV/atom.